# 1
Material: Re2Si
Method: DFT, PBEsol
State: optimized geometry

Output
**Relative energy among the computed polymorphs**: 0 meV/atom
**E_form (uncorrected)**: -307 meV per atom
**DOS at the Fermi energy**: 1.491 states/eV/f.u.

Unit cell a=5.3340 b=5.3340 c=5.7145 alpha=102.99 beta=102.99 gamma=31.43
Closest atoms and distances in Å follow each position.
Atoms (fractional coordinates):
1 Re 0.0297 0.0297 0.2797  4 Si 2.48-2.71, 3 Re 2.71-2.73
2 Re 0.3135 0.3135 0.3623  3 Si 2.45-2.60, 4 Re 2.69-2.71
3 Re 0.6865 0.6865 0.6377  3 Si 2.45-2.60, 4 Re 2.69-2.71
4 Re 0.9703 0.9703 0.7203  4 Si 2.48-2.71, 3 Re 2.71-2.73
5 Si 0.3506 0.3506 0.9539  7 Re 2.45-2.71, 2 Si 2.67
6 Si 0.6494 0.6494 0.0461  7 Re 2.45-2.71, 2 Si 2.67



# 2
Material: Re3Si2
Method: DFT, PBEsol
State: optimized geometry

Output
**E_form (uncorrected)**: 239 meV per atom
**DOS at the Fermi energy**: 5.391 states/eV/f.u.

Unit cell a=4.0707 b=4.0707 c=5.0666 alpha=90.00 beta=90.00 gamma=120.00
Closest atoms and distances in Å follow each position.
Atoms (fractional coordinates):
1 Re 0.0000 0.0000 0.0000  6 Si 2.52
2 Re 0.3333 0.6667 0.3311  5 Si 2.47-2.59
3 Re 0.6667 0.3333 0.6689  5 Si 2.47-2.59
4 Si 0.3333 0.6667 0.8192  8 Re 2.47-2.59
5 Si 0.6667 0.3333 0.1808  8 Re 2.47-2.59



# 3
Material: ReSi2
Method: DFT, PBEsol
State: optimized geometry

Output
**E_form (uncorrected)**: 207 meV per atom
**DOS at the Fermi energy**: 1.697 states/eV/f.u.

Unit cell a=4.4732 b=4.4732 c=2.5153 alpha=90.00 beta=90.00 gamma=120.00
Closest atoms and distances in Å follow each position.
Atoms (fractional coordinates):
1 Re 0.0000 0.0000 0.0000  2 Re 2.52, 6 Si 2.58
2 Si 0.3333 0.6667 0.0000  5 Si 2.52-2.58, 3 Re 2.58
3 Si 0.6667 0.3333 0.0000  5 Si 2.52-2.58, 3 Re 2.58



# 4
Material: Sm2Re3Si5
Method: DFT, PBEsol
State: optimized geometry

Output
**E_form (uncorrected)**: -641 meV per atom
**DOS at the Fermi energy**: 4.627 states/eV/f.u.

Unit cell a=10.9432 b=10.9432 c=5.5524 alpha=90.00 beta=90.00 gamma=90.00
Closest atoms and distances in Å follow each position.
Atoms (fractional coordinates):
1 Sm 0.0773 0.2370 0.0000  7 Si 2.84-3.16, 2 Re 3.14
2 Sm 0.2370 0.9227 0.0000  7 Si 2.84-3.16, 2 Re 3.14
3 Sm 0.2630 0.4227 0.5000  7 Si 2.84-3.16, 2 Re 3.14
4 Sm 0.4227 0.7370 0.5000  7 Si 2.84-3.16, 2 Re 3.14
5 Sm 0.5773 0.2630 0.5000  7 Si 2.84-3.16, 2 Re 3.14
6 Sm 0.7370 0.5773 0.5000  7 Si 2.84-3.16, 2 Re 3.14
7 Sm 0.7630 0.0773 0.0000  7 Si 2.84-3.16, 2 Re 3.14
8 Sm 0.9227 0.7630 0.0000  7 Si 2.84-3.16, 2 Re 3.14
9 Re 0.0000 0.5000 0.2500  6 Si 2.47-2.66
10 Re 0.0000 0.5000 0.7500  6 Si 2.47-2.66
11 Re 0.1232 0.8525 0.5000  6 Si 2.46-2.52
12 Re 0.1475 0.1232 0.5000  6 Si 2.46-2.52
13 Re 0.3525 0.6232 0.0000  6 Si 2.46-2.52
14 Re 0.3768 0.3525 0.0000  6 Si 2.46-2.52
15 Re 0.5000 0.0000 0.2500  6 Si 2.47-2.66
16 Re 0.5000 0.0000 0.7500  6 Si 2.47-2.66
17 Re 0.6232 0.6475 0.0000  6 Si 2.46-2.52
18 Re 0.6475 0.3768 0.0000  6 Si 2.46-2.52
19 Re 0.8525 0.8768 0.5000  6 Si 2.46-2.52
20 Re 0.8768 0.1475 0.5000  6 Si 2.46-2.52
21 Si 0.0000 0.0000 0.2490  4 Re 2.52, 2 Si 2.76-2.79
22 Si 0.0000 0.0000 0.7510  4 Re 2.52, 2 Si 2.76-2.79
23 Si 0.0268 0.3147 0.5000  4 Re 2.46-2.48, 2 Si 2.58
24 Si 0.1717 0.6717 0.2500  3 Re 2.47-2.66, 2 Si 2.58
25 Si 0.1717 0.6717 0.7500  3 Re 2.47-2.66, 2 Si 2.58
26 Si 0.1853 0.4732 0.0000  4 Re 2.46-2.48, 2 Si 2.58
27 Si 0.3147 0.9732 0.5000  4 Re 2.46-2.48, 2 Si 2.58
28 Si 0.3283 0.1717 0.2500  3 Re 2.47-2.66, 2 Si 2.58
29 Si 0.3283 0.1717 0.7500  3 Re 2.47-2.66, 2 Si 2.58
30 Si 0.4732 0.8147 0.0000  4 Re 2.46-2.48, 2 Si 2.58
31 Si 0.5000 0.5000 0.2510  4 Re 2.52, 2 Si 2.76-2.79
32 Si 0.5000 0.5000 0.7490  4 Re 2.52, 2 Si 2.76-2.79
33 Si 0.5268 0.1853 0.0000  4 Re 2.46-2.48, 2 Si 2.58
34 Si 0.6717 0.8283 0.2500  3 Re 2.47-2.66, 2 Si 2.58
35 Si 0.6717 0.8283 0.7500  3 Re 2.47-2.66, 2 Si 2.58
36 Si 0.6853 0.0268 0.5000  4 Re 2.46-2.48, 2 Si 2.58
37 Si 0.8147 0.5268 0.0000  4 Re 2.46-2.48, 2 Si 2.58
38 Si 0.8283 0.3283 0.2500  3 Re 2.47-2.66, 2 Si 2.58
39 Si 0.8283 0.3283 0.7500  3 Re 2.47-2.66, 2 Si 2.58
40 Si 0.9732 0.6853 0.5000  4 Re 2.46-2.48, 2 Si 2.58



# 5
Material: SrReSi
Method: DFT, PBEsol
State: optimized geometry

Output
**E_form (uncorrected)**: 858 meV per atom
**DOS at the Fermi energy**: 4.067 states/eV/f.u.

Unit cell a=4.4825 b=4.4825 c=4.4825 alpha=60.00 beta=60.00 gamma=60.00
Closest atoms and distances in Å follow each position.
Atoms (fractional coordinates):
1 Sr 0.0000 0.0000 0.0000  4 Si 2.74
2 Re 0.5000 0.5000 0.5000  4 Si 2.74
3 Si 0.2500 0.2500 0.2500  4 Re 2.74, 4 Sr 2.74



# 6
Material: SrReSi4
Method: DFT, PBEsol
State: optimized geometry

Output
**E_form (uncorrected)**: 535 meV per atom
**DOS at the Fermi energy**: 7.111 states/eV/f.u.

Unit cell a=5.1627 b=5.1627 c=5.1627 alpha=60.00 beta=60.00 gamma=60.00
Closest atoms and distances in Å follow each position.
Atoms (fractional coordinates):
1 Sr 0.0000 0.0000 0.0000  12 Si 3.03, 4 Re 3.16
2 Re 0.2500 0.2500 0.2500  12 Si 3.02, 4 Sr 3.16
3 Si 0.1355 0.6215 0.6215  6 Si 2.51-2.65
4 Si 0.6215 0.1355 0.6215  6 Si 2.51-2.65
5 Si 0.6215 0.6215 0.1355  6 Si 2.51-2.65
6 Si 0.6215 0.6215 0.6215  6 Si 2.51-2.65



# 7
Material: SrRe2Si
Method: DFT, PBEsol
State: optimized geometry

Output
**E_form (uncorrected)**: 820 meV per atom
**DOS at the Fermi energy**: 3.388 states/eV/f.u.

Unit cell a=4.5760 b=4.5760 c=4.5760 alpha=60.00 beta=60.00 gamma=60.00
Closest atoms and distances in Å follow each position.
Atoms (fractional coordinates):
1 Sr 0.0000 0.0000 0.0000  4 Re 2.80, 4 Si 2.80
2 Re 0.2500 0.2500 0.2500  4 Re 2.80, 4 Sr 2.80
3 Re 0.5000 0.5000 0.5000  4 Re 2.80, 4 Si 2.80
4 Si 0.7500 0.7500 0.7500  4 Re 2.80, 4 Sr 2.80



# 8
Material: SrReSi2
Method: DFT, PBEsol
State: optimized geometry

Output
**E_form (uncorrected)**: -231 meV per atom
**DOS at the Fermi energy**: 1.180 states/eV/f.u.

Unit cell a=3.1438 b=3.1438 c=7.1493 alpha=90.00 beta=90.00 gamma=90.00
Closest atoms and distances in Å follow each position.
Atoms (fractional coordinates):
1 Sr 0.0000 0.0000 0.0000  4 Sr 3.14, 8 Si 3.18
2 Re 0.0000 0.0000 0.5000  8 Si 2.58
3 Si 0.5000 0.5000 0.3182  4 Re 2.58, 1 Si 2.60
4 Si 0.5000 0.5000 0.6818  4 Re 2.58, 1 Si 2.60



# 9
Material: Ta2ReSi
Method: DFT, PBEsol
State: optimized geometry

Output
**E_form (uncorrected)**: -15 meV per atom
**DOS at the Fermi energy**: 4.829 states/eV/f.u.

Unit cell a=2.7816 b=2.7816 c=8.0938 alpha=90.00 beta=90.00 gamma=90.00
Closest atoms and distances in Å follow each position.
Atoms (fractional coordinates):
1 Ta 0.0000 0.0000 0.2385  4 Si 2.76, 4 Ta 2.78, 4 Re 2.89
2 Ta 0.0000 0.0000 0.7615  4 Si 2.76, 4 Ta 2.78, 4 Re 2.89
3 Re 0.5000 0.5000 0.5000  4 Re 2.78, 8 Ta 2.89
4 Si 0.5000 0.5000 0.0000  8 Ta 2.76, 4 Si 2.78



# 10
Material: Ta2ReSi
Method: DFT, PBEsol
State: optimized geometry

Output
**E_form (uncorrected)**: 76 meV per atom
**DOS at the Fermi energy**: 4.440 states/eV/f.u.

Unit cell a=9.0419 b=9.0419 c=9.0419 alpha=18.27 beta=18.27 gamma=18.27
Closest atoms and distances in Å follow each position.
Atoms (fractional coordinates):
1 Ta 0.0000 0.0000 0.0000  3 Re 2.83, 9 Ta 2.87-3.01
2 Ta 0.2392 0.2392 0.2392  3 Si 2.74, 9 Ta 2.87-3.01
3 Re 0.7528 0.7528 0.7528  3 Si 2.52
4 Si 0.4907 0.4907 0.4907  3 Re 2.52, 3 Ta 2.74



# 11
Material: ReSi2Tc
Method: DFT, PBEsol
State: optimized geometry

Output
**Relative energy among the computed polymorphs**: 393 meV/atom
**E_form (uncorrected)**: -52 meV per atom
**DOS at the Fermi energy**: 2.670 states/eV/f.u.

Unit cell a=2.9250 b=3.8883 c=4.8117 alpha=90.00 beta=90.00 gamma=90.00
Closest atoms and distances in Å follow each position.
Atoms (fractional coordinates):
1 Re 0.0000 0.0000 0.0000  4 Si 2.43
2 Si 0.0000 0.5000 0.5000  4 Tc 2.43
3 Si 0.5000 0.5000 0.0000  4 Re 2.43
4 Tc 0.5000 0.0000 0.5000  4 Si 2.43



# 12
Material: ReSiTc2
Method: DFT, PBEsol
State: optimized geometry

Output
**E_form (uncorrected)**: -11 meV per atom
**DOS at the Fermi energy**: 3.267 states/eV/f.u.

Unit cell a=4.6563 b=4.6563 c=2.8122 alpha=90.00 beta=90.00 gamma=114.60
Closest atoms and distances in Å follow each position.
Atoms (fractional coordinates):
1 Re 0.0000 0.0000 0.0000  2 Si 2.52, 8 Tc 2.72, 2 Re 2.81
2 Si 0.5000 0.5000 0.0000  2 Re 2.52, 8 Tc 2.72, 2 Si 2.81
3 Tc 0.0000 0.5000 0.5000  4 Tc 2.52-2.81, 4 Si 2.72, 4 Re 2.72
4 Tc 0.5000 0.0000 0.5000  4 Tc 2.52-2.81, 4 Si 2.72, 4 Re 2.72



# 13
Material: ReSiTc2
Method: DFT, PBEsol
State: optimized geometry

Output
**E_form (uncorrected)**: -40 meV per atom
**DOS at the Fermi energy**: 5.016 states/eV/f.u.

Unit cell a=4.6969 b=4.6969 c=4.6969 alpha=132.76 beta=132.76 gamma=69.03
Closest atoms and distances in Å follow each position.
Atoms (fractional coordinates):
1 Re 0.0000 0.0000 0.0000  4 Si 2.66, 8 Tc 2.70
2 Si 0.5000 0.5000 0.0000  4 Re 2.66, 8 Tc 2.70
3 Tc 0.2500 0.7500 0.5000  4 Tc 2.66, 4 Re 2.70, 4 Si 2.70
4 Tc 0.7500 0.2500 0.5000  4 Tc 2.66, 4 Re 2.70, 4 Si 2.70